Entry 1:
The following is a PBE-GGA calculation of a relaxed structure of Sr2Mg2Be, from Alexandria via LeMat-Bulk.

POSCAR file:
```
Sr2Mg2Be
1.0
8.433 0.000 0.000
0.000 8.433 0.000
0.000 0.000 5.198
Sr Mg Be
4 4 2
Cartesian
1.402 2.815 0.000
2.815 7.031 0.000
5.618 1.402 0.000
7.031 5.618 0.000
1.130 5.347 2.599
3.086 1.130 2.599
5.347 7.302 2.599
7.302 3.086 2.599
0.000 0.000 0.000
4.216 4.216 0.000
```

Output
- Total moment: 0.000 μB/f.u.
- Energy relative to the lowest polymorph listed for this composition: 198.7 meV/atom
- Symmetry: No. 127
- Energy of formation from the pure elements: 555 meV/atom

---

Entry 2:
The following is a PBE-GGA calculation of a relaxed structure of SrMgBe2, from Alexandria via LeMat-Bulk.

POSCAR file:
```
SrMgBe2
1.0
-2.299 2.299 8.901
2.299 -2.299 8.901
2.299 2.299 -8.901
Sr Mg Be
2 2 4
Cartesian
2.299 1.149 2.225
0.000 1.149 6.676
2.299 -1.149 6.676
0.000 3.448 2.225
0.000 0.000 0.000
1.149 1.149 -4.451
1.149 -1.149 4.451
0.000 2.299 0.000
```

Output
- Total moment: 0.000 μB/f.u.
- Symmetry: No. 141
- Energy of formation from the pure elements: 499 meV/atom

---

Entry 3:
The following is a PBE-GGA calculation of a relaxed structure of SrMg2Be, from Alexandria via LeMat-Bulk.

POSCAR file:
```
SrMg2Be
1.0
4.528 0.000 0.000
0.000 4.528 0.000
0.000 0.000 5.041
Sr Mg Be
1 2 1
Cartesian
0.000 0.000 0.000
0.000 2.264 2.521
2.264 0.000 2.521
2.264 2.264 0.000
```

Output
- Total moment: 0.000 μB/f.u.
- Symmetry: No. 123
- Energy of formation from the pure elements: 395 meV/atom

---

Entry 4:
The following is a PBE-GGA calculation of a relaxed structure of SrMg2Be, from Alexandria via LeMat-Bulk.

POSCAR file:
```
SrMg2Be
1.0
3.984 -2.302 0.000
3.984 2.302 0.000
-2.674 0.000 5.815
Sr Mg Be
1 2 1
Cartesian
0.000 0.000 0.000
-0.009 0.000 3.488
5.304 0.000 2.327
2.647 0.000 2.908
```

Output
- Total moment: 0.000 μB/f.u.
- Symmetry: No. 12
- Energy of formation from the pure elements: 233 meV/atom

---

Entry 5:
The following is a PBE-GGA calculation of a relaxed structure of SrMgBe4, from Alexandria via LeMat-Bulk.

POSCAR file:
```
SrMgBe4
1.0
0.000 3.565 3.565
3.565 0.000 3.565
3.565 3.565 0.000
Sr Mg Be
1 1 4
Cartesian
0.000 0.000 0.000
1.782 1.782 1.782
4.430 2.699 2.699
2.699 4.430 2.699
2.699 2.699 4.430
4.430 4.430 4.430
```

Output
- Total moment: 0.000 μB/f.u.
- Symmetry: No. 216
- Energy of formation from the pure elements: 428 meV/atom

---

Entry 6:
The following is a PBE-GGA calculation of a relaxed structure of SrMg2Be, from Alexandria via LeMat-Bulk.

POSCAR file:
```
SrMg2Be
1.0
3.993 0.000 0.000
0.000 4.636 0.000
-1.570 0.000 5.702
Sr Mg Be
1 2 1
Cartesian
0.000 0.000 0.000
0.330 2.318 3.965
2.093 2.318 1.737
1.211 0.000 2.851
```

Output
- Total moment: 0.000 μB/f.u.
- Symmetry: No. 10
- Energy of formation from the pure elements: 317 meV/atom

---

Entry 7:
The following is a PBE-GGA calculation of a relaxed structure of SrMgBe, from Alexandria via LeMat-Bulk.

POSCAR file:
```
SrMgBe
1.0
0.000 3.504 3.504
3.504 0.000 3.504
3.504 3.504 0.000
Sr Mg Be
1 1 1
Cartesian
0.000 0.000 0.000
3.504 3.504 3.504
1.752 1.752 1.752
```

Output
- Total moment: 0.000 μB/f.u.
- Energy relative to the lowest polymorph listed for this composition: 109.0 meV/atom
- Symmetry: No. 216
- Energy of formation from the pure elements: 436 meV/atom

---

Entry 8:
The following is a PBE-GGA calculation of a relaxed structure of SrMg2Be, from Alexandria via LeMat-Bulk.

POSCAR file:
```
SrMg2Be
1.0
-2.770 2.770 8.280
2.770 -2.770 8.280
2.770 2.770 -8.280
Sr Mg Be
2 4 2
Cartesian
2.770 1.385 2.070
0.000 1.385 6.210
0.000 0.000 0.000
1.385 1.385 -4.140
1.385 -1.385 4.140
0.000 2.770 0.000
2.770 -1.385 6.210
0.000 4.155 2.070
```

Output
- Total moment: 0.000 μB/f.u.
- Symmetry: No. 141
- Energy of formation from the pure elements: 490 meV/atom

---

Entry 9:
The following is a PBE-GGA calculation of a relaxed structure of SrMg2Be2, from Alexandria via LeMat-Bulk.

POSCAR file:
```
SrMg2Be2
1.0
7.837 0.000 0.000
0.000 7.837 0.000
0.000 0.000 3.430
Sr Mg Be
2 4 4
Cartesian
0.000 0.000 0.000
3.919 3.919 0.000
1.321 2.597 1.715
2.597 6.516 1.715
5.240 1.321 1.715
6.516 5.240 1.715
0.804 4.723 0.000
3.114 0.804 0.000
4.723 7.033 0.000
7.033 3.114 0.000
```

Output
- Total moment: 0.000 μB/f.u.
- Energy relative to the lowest polymorph listed for this composition: 183.6 meV/atom
- Symmetry: No. 127
- Energy of formation from the pure elements: 438 meV/atom

---

Entry 10:
The following is a PBE-GGA calculation of a relaxed structure of SrMgBe2, from Alexandria via LeMat-Bulk.

POSCAR file:
```
SrMgBe2
1.0
2.147 1.240 5.570
-2.147 1.240 5.570
0.000 -2.480 5.570
Sr Mg Be
1 1 2
Cartesian
0.000 0.000 0.000
0.000 0.000 8.355
0.000 0.000 3.043
0.000 0.000 13.667
```

Output
- Total moment: 0.000 μB/f.u.
- Symmetry: No. 166
- Energy of formation from the pure elements: 290 meV/atom

---

Entry 11:
The following is a PBE-GGA calculation of a relaxed structure of SrMgBe2, from Alexandria via LeMat-Bulk.

POSCAR file:
```
SrMgBe2
1.0
-2.032 2.647 3.957
2.032 -2.647 3.957
2.032 2.647 -3.957
Sr Mg Be
1 1 2
Cartesian
0.000 0.000 0.000
2.032 0.000 2.530
0.000 0.000 4.810
0.000 2.647 1.364
```

Output
- Total moment: 0.000 μB/f.u.
- Symmetry: No. 44
- Energy of formation from the pure elements: 431 meV/atom

---

Entry 12:
The following is a PBE-GGA calculation of a relaxed structure of SrMg2Be, from Alexandria via LeMat-Bulk.

POSCAR file:
```
SrMg2Be
1.0
3.875 0.000 0.000
0.000 4.408 0.000
-1.921 0.000 6.222
Sr Mg Be
1 2 1
Cartesian
0.000 0.000 0.000
-0.001 2.204 3.553
1.937 0.000 2.798
1.939 2.204 1.495
```

Output
- Total moment: 0.000 μB/f.u.
- Symmetry: No. 6
- Energy of formation from the pure elements: 264 meV/atom

---

Entry 13:
The following is a PBE-GGA calculation of a relaxed structure of SrMg2Be2, from Alexandria via LeMat-Bulk.

POSCAR file:
```
SrMg2Be2
1.0
-2.188 2.188 5.644
2.188 -2.188 5.644
2.188 2.188 -5.644
Sr Mg Be
1 2 2
Cartesian
0.000 0.000 0.000
2.188 0.000 2.822
0.000 2.188 2.822
0.000 0.000 4.542
0.000 0.000 6.747
```

Output
- Total moment: 0.000 μB/f.u.
- Energy relative to the lowest polymorph listed for this composition: 0.0 meV/atom
- Symmetry: No. 139
- Energy of formation from the pure elements: 255 meV/atom

---

Entry 14:
The following is a PBE-GGA calculation of a relaxed structure of SrMgBe2, from Alexandria via LeMat-Bulk.

POSCAR file:
```
SrMgBe2
1.0
3.098 0.000 0.000
0.000 3.098 0.000
0.000 0.000 7.922
Sr Mg Be
1 1 2
Cartesian
0.000 0.000 0.000
1.549 1.549 5.011
0.000 0.000 3.120
1.549 1.549 2.332
```

Output
- Total moment: 0.000 μB/f.u.
- Symmetry: No. 99
- Energy of formation from the pure elements: 466 meV/atom

---

Entry 15:
The following is a PBE-GGA calculation of a relaxed structure of SrMg2Be, from Alexandria via LeMat-Bulk.

POSCAR file:
```
SrMg2Be
1.0
-1.693 2.706 5.352
1.693 -2.706 5.352
1.693 2.706 -5.352
Sr Mg Be
1 2 1
Cartesian
0.000 0.000 0.000
1.693 0.000 3.219
0.000 2.706 2.133
0.000 0.000 5.352
```

Output
- Total moment: 0.000 μB/f.u.
- Symmetry: No. 71
- Energy of formation from the pure elements: 269 meV/atom

---

Entry 16:
The following is a PBE-GGA calculation of a relaxed structure of SrMgBe2, from Alexandria via LeMat-Bulk.

POSCAR file:
```
SrMgBe2
1.0
2.075 1.198 5.816
-2.075 1.198 5.816
0.000 -2.396 5.816
Sr Mg Be
1 1 2
Cartesian
0.000 0.000 0.000
0.000 0.000 3.205
0.000 0.000 8.080
0.000 0.000 13.867
```

Output
- Total moment: 0.000 μB/f.u.
- Symmetry: No. 160
- Energy of formation from the pure elements: 265 meV/atom

---

Entry 17:
The following is a PBE-GGA calculation of a relaxed structure of SrMg2Be, from Alexandria via LeMat-Bulk.

POSCAR file:
```
SrMg2Be
1.0
4.037 -2.330 0.000
4.037 2.330 0.000
-2.700 0.000 5.725
Sr Mg Be
1 2 1
Cartesian
0.000 0.000 0.000
2.688 0.000 3.347
5.379 0.000 2.334
-0.003 0.000 3.258
```

Output
- Total moment: 0.000 μB/f.u.
- Symmetry: No. 8
- Energy of formation from the pure elements: 206 meV/atom

---

Entry 18:
The following is a PBE-GGA calculation of a relaxed structure of SrMg2Be, from Alexandria via LeMat-Bulk.

POSCAR file:
```
SrMg2Be
1.0
3.349 0.000 0.000
0.000 3.349 0.000
0.000 0.000 8.572
Sr Mg Be
1 2 1
Cartesian
0.000 0.000 0.000
1.674 1.674 2.751
1.674 1.674 5.821
0.000 0.000 4.286
```

Output
- Total moment: 0.000 μB/f.u.
- Symmetry: No. 123
- Energy of formation from the pure elements: 290 meV/atom

---

Entry 19:
The following is a PBE-GGA calculation of a relaxed structure of Sr2Mg2Be, from Alexandria via LeMat-Bulk.

POSCAR file:
```
Sr2Mg2Be
1.0
-2.016 2.016 9.965
2.016 -2.016 9.965
2.016 2.016 -9.965
Sr Mg Be
2 2 1
Cartesian
0.000 0.000 1.810
0.000 0.000 18.119
2.016 0.000 4.982
0.000 2.016 4.982
0.000 0.000 9.965
```

Output
- Total moment: 0.000 μB/f.u.
- Energy relative to the lowest polymorph listed for this composition: 0.0 meV/atom
- Symmetry: No. 139
- Energy of formation from the pure elements: 356 meV/atom

---

Entry 20:
The following is a PBE-GGA calculation of a relaxed structure of SrMgBe2, from Alexandria via LeMat-Bulk.

POSCAR file:
```
SrMgBe2
1.0
4.948 0.000 0.000
0.000 4.948 0.000
0.000 0.000 3.354
Sr Mg Be
1 1 2
Cartesian
0.000 0.000 0.000
2.474 2.474 0.000
0.000 2.474 1.677
2.474 0.000 1.677
```

Output
- Total moment: 0.000 μB/f.u.
- Symmetry: No. 123
- Energy of formation from the pure elements: 654 meV/atom

---

Entry 21:
The following is a PBE-GGA calculation of a relaxed structure of SrMgBe2, from Alexandria via LeMat-Bulk.

POSCAR file:
```
SrMgBe2
1.0
4.064 0.000 0.000
0.000 2.160 5.018
0.000 -2.160 5.018
Sr Mg Be
1 1 2
Cartesian
0.000 0.000 0.000
2.032 0.000 7.173
0.000 0.000 2.995
2.032 0.000 3.504
```

Output
- Total moment: 0.000 μB/f.u.
- Symmetry: No. 38
- Energy of formation from the pure elements: 311 meV/atom

---

Entry 22:
The following is a PBE-GGA calculation of a relaxed structure of SrMgBe2, from Alexandria via LeMat-Bulk.

POSCAR file:
```
SrMgBe2
1.0
3.408 0.000 0.000
0.000 3.425 0.000
0.000 0.000 6.975
Sr Mg Be
1 1 2
Cartesian
0.000 0.000 0.000
0.000 0.000 3.488
1.704 1.713 2.355
1.704 1.713 4.620
```

Output
- Total moment: 0.000 μB/f.u.
- Symmetry: No. 47
- Energy of formation from the pure elements: 471 meV/atom

---

Entry 23:
The following is a PBE-GGA calculation of a relaxed structure of SrMg2Be, from Alexandria via LeMat-Bulk.

POSCAR file:
```
SrMg2Be
1.0
3.523 0.000 0.000
0.000 3.523 0.000
0.000 0.000 7.921
Sr Mg Be
1 2 1
Cartesian
0.000 0.000 0.000
0.000 0.000 3.282
1.761 1.761 5.168
1.761 1.761 2.216
```

Output
- Total moment: 0.001 μB/f.u.
- Symmetry: No. 99
- Energy of formation from the pure elements: 268 meV/atom

---

Entry 24:
The following is a PBE-GGA calculation of a relaxed structure of SrMg2BeW, from Alexandria via LeMat-Bulk.

POSCAR file:
```
SrMg2BeW
1.0
5.299 0.000 0.000
0.000 5.299 0.000
0.000 0.000 5.576
Sr Mg Be W
1 2 1 1
Cartesian
0.000 0.000 0.000
0.000 2.649 2.788
2.649 0.000 2.788
2.649 2.649 0.000
0.000 0.000 2.788
```

Output
- Total moment: 1.783 μB/f.u.
- Symmetry: No. 123
- Energy of formation from the pure elements: 1605 meV/atom

---

Entry 25:
The following is a PBE-GGA calculation of a relaxed structure of Mg2TaBe, from Alexandria via LeMat-Bulk.

POSCAR file:
```
Mg2TaBe
1.0
2.751 -4.623 0.000
2.751 4.623 0.000
0.000 0.000 2.727
Mg Ta Be
2 1 1
Cartesian
1.376 2.311 0.000
1.376 -2.311 0.000
0.000 0.000 1.363
2.751 0.000 1.363
```

Output
- Total moment: 0.000 μB/f.u.
- Symmetry: No. 65
- Energy of formation from the pure elements: 451 meV/atom

---

Entry 26:
The following is a PBE-GGA calculation of a relaxed structure of Mg2TaBe, from Alexandria via LeMat-Bulk.

POSCAR file:
```
Mg2TaBe
1.0
2.891 0.000 0.000
0.000 4.474 0.000
-1.201 0.000 5.240
Mg Ta Be
2 1 1
Cartesian
0.131 0.000 1.369
1.559 0.000 3.871
1.446 2.237 0.000
-0.601 2.237 2.620
```

Output
- Total moment: 0.000 μB/f.u.
- Symmetry: No. 10
- Energy of formation from the pure elements: 439 meV/atom

---

Entry 27:
The following is a PBE-GGA calculation of a relaxed structure of Mg2TaBe, from Alexandria via LeMat-Bulk.

POSCAR file:
```
Mg2TaBe
1.0
3.902 0.000 0.000
0.000 3.902 0.000
0.000 0.000 4.318
Mg Ta Be
2 1 1
Cartesian
0.000 1.951 0.000
1.951 0.000 0.000
0.000 0.000 2.159
1.951 1.951 2.159
```

Output
- Total moment: 0.000 μB/f.u.
- Symmetry: No. 123
- Energy of formation from the pure elements: 363 meV/atom

---

Entry 28:
The following is a PBE-GGA calculation of a relaxed structure of Mg2TaBe, from Alexandria via LeMat-Bulk.

POSCAR file:
```
Mg2TaBe
1.0
1.469 0.848 9.481
-1.469 0.848 9.481
0.000 -1.697 9.481
Mg Ta Be
2 1 1
Cartesian
0.000 0.000 0.000
0.000 0.000 6.743
0.000 0.000 13.653
0.000 0.000 21.084
```

Output
- Total moment: 0.000 μB/f.u.
- Symmetry: No. 160
- Energy of formation from the pure elements: 351 meV/atom

---

Entry 29:
The following is a PBE-GGA calculation of a relaxed structure of MgTaBe2, from Alexandria via LeMat-Bulk.

POSCAR file:
```
MgTaBe2
1.0
1.422 0.821 8.638
-1.422 0.821 8.638
0.000 -1.642 8.638
Mg Ta Be
1 1 2
Cartesian
0.000 0.000 0.000
0.000 0.000 12.956
0.000 0.000 6.411
0.000 0.000 19.502
```

Output
- Total moment: 0.001 μB/f.u.
- Symmetry: No. 166
- Energy of formation from the pure elements: 467 meV/atom